LaSbOs | PBE-GGA | optimized geometry

a = 3.324 Å, b = 3.324 Å, c = 7.274 Å
α = 90.00°, β = 90.00°, γ = 120.00°
Fractional coordinates of all 3 atoms:
La 0.000 0.000 0.000
Sb 0.667 0.333 0.597
Os 0.333 0.667 0.337

Results
Space-group type = P3m1
ΔE_f (raw) = 323 meV per atom
Uncorrected energy = -6.44 eV/atom

---

Ac2CuO | PBE-GGA | optimized geometry

a = 7.279 Å, b = 7.279 Å, c = 7.279 Å
α = 32.62°, β = 32.62°, γ = 32.62°
Fractional coordinates of all 4 atoms:
Ac 0.238 0.238 0.238
Ac 0.762 0.762 0.762
Cu 0.000 0.000 0.000
O 0.500 0.500 0.500

Results
Space-group type = R-3m
Relative energy among the computed polymorphs = 0.0 meV/atom
ΔE_f (raw) = -1199 meV per atom
Uncorrected energy = -5.52 eV/atom